(1)
Compound: Pr3YAl2
Source: Alexandria
Functional: GGA-PBE
Structure: relaxed

Space group: No. 26
Fermi-level density of states, states/eV/cell: 12.189
Formation energy from the elements, meV/atom: -253
Raw total energy, eV/atom: -4.968
Magnetization, μB per atom: 0.000

abc: 5.257 9.835 6.750
angles: 90.00 90.00 90.00
Positions (direct):
Pr 0.000 0.043 0.000
Pr 0.000 0.331 0.333
Pr 0.000 0.669 0.833
Pr 0.000 0.957 0.500
Pr 0.500 0.177 0.716
Pr 0.500 0.823 0.216
Y 0.500 0.454 0.046
Y 0.500 0.546 0.546
Al 0.000 0.354 0.820
Al 0.000 0.646 0.320
Al 0.500 0.152 0.232
Al 0.500 0.848 0.732

=====

(2)
Compound: NpTl3O4
Source: Alexandria
Functional: GGA-PBE
Structure: relaxed

Space group: No. 215
Fermi-level density of states, states/eV/cell: 11.734
Raw total energy, eV/atom: -6.340
Magnetization, μB per atom: 0.249
Energy relative to the elements, uncorrected, eV/atom: -1.356

abc: 5.860 5.860 5.860
angles: 90.00 90.00 90.00
Positions (direct):
Np 0.000 0.000 0.000
Tl 0.000 0.500 0.500
Tl 0.500 0.000 0.500
Tl 0.500 0.500 0.000
O 0.199 0.199 0.199
O 0.199 0.801 0.801
O 0.801 0.199 0.801
O 0.801 0.801 0.199

=====

(3)
Compound: Ac12TcSn6
Source: Alexandria
Functional: GGA-PBE
Structure: relaxed

Space group: No. 148
Fermi-level density of states, states/eV/cell: 21.733
Formation energy from the elements, meV/atom: -337
Raw total energy, eV/atom: -4.742
Magnetization, μB per atom: 0.000

abc: 9.409 9.409 9.409
angles: 99.04 99.04 99.04
Positions (direct):
Ac 0.012 0.686 0.947
Ac 0.053 0.988 0.314
Ac 0.191 0.430 0.566
Ac 0.314 0.053 0.988
Ac 0.430 0.566 0.191
Ac 0.434 0.809 0.570
Ac 0.566 0.191 0.430
Ac 0.570 0.434 0.809
Ac 0.686 0.947 0.012
Ac 0.809 0.570 0.434
Ac 0.947 0.012 0.686
Ac 0.988 0.314 0.053
Tc 0.000 0.000 0.000
Sn 0.124 0.643 0.308
Sn 0.308 0.124 0.643
Sn 0.357 0.692 0.876
Sn 0.643 0.308 0.124
Sn 0.692 0.876 0.357
Sn 0.876 0.357 0.692